# 1
VCdN2 after structural relaxation, computed with PBE.

ρ: 5.43 g cm⁻³
Crystal system: trigonal
Energy relative to the elements, uncorrected: 0.856 eV per atom
Spin magnetization: 0.00 μB/f.u.

```
data_VCdN2
_chemical_formula_sum 'V3 Cd3 N6'
_cell_length_a 3.2853
_cell_length_b 3.2853
_cell_length_c 18.7833
_cell_angle_alpha 90.00
_cell_angle_beta 90.00
_cell_angle_gamma 120.00
_symmetry_space_group_name_H-M 'R -3 m'
_symmetry_Int_Tables_number 166
_symmetry_space_group_name_Hall '-R 3 2"'
loop_
_atom_site_label
_atom_site_type_symbol
_atom_site_fract_x
_atom_site_fract_y
_atom_site_fract_z
V1 V 0.0000 0.0000 0.0000
Cd1 Cd 0.0000 0.0000 0.5000
N1 N 0.0000 0.0000 0.0952
```

=====

# 2
V2CdN after structural relaxation, computed with PBE.

ρ: 5.44 g cm⁻³
Crystal system: tetragonal
Energy relative to the elements, uncorrected: 0.100 eV per atom
Spin magnetization: 1.37 μB/f.u.
Offset from the most stable computed form: 0.0000 eV per atom

```
data_V2CdN
_chemical_formula_sum 'V8 Cd4 N4'
_cell_length_a 5.153
_cell_length_b 5.153
_cell_length_c 10.497
_cell_angle_alpha 90.00
_cell_angle_beta 90.00
_cell_angle_gamma 90.00
_symmetry_space_group_name_H-M 'I -4 2 d'
_symmetry_Int_Tables_number 122
_symmetry_space_group_name_Hall 'I -4 2bw'
loop_
_atom_site_label
_atom_site_type_symbol
_atom_site_fract_x
_atom_site_fract_y
_atom_site_fract_z
V1 V 0.057 0.250 0.125
Cd1 Cd 0.000 0.000 0.500
N1 N 0.000 0.000 0.000
```

=====

Calculated total energy in order - -5.815 -6.769 eV per atom